Compound: ScCoCuF
Source: Alexandria via LeMat-Bulk
Functional: PBE+U
Structure: relaxed

Lattice parameters (Å, degrees): 3.108 4.062 9.582 90.00 90.00 90.00
Fractional coordinates of all 8 atoms:
1 Sc 0.000 0.000 0.096
2 Sc 0.500 0.500 0.596
3 Cu 0.000 0.500 0.338
4 Cu 0.500 0.000 0.838
5 F 0.500 0.000 0.568
6 F 0.000 0.500 0.068
7 Co 0.500 0.000 0.333
8 Co 0.000 0.500 0.833

Spin magnetization in μB/cell: 2.8
Crystal system: orthorhombic
Space group: Imm2, No. 44
DFT total energy in hartree per atom: -0.1906